(1)
# Ni4SnIr, optimized geometry, DFT PBE-GGA
# Formation energy in eV/f.u.: 0.25
# Energy above the most stable polymorph in this dataset in meV per atom: 107
data_Ni4SnIr
_symmetry_space_group_name_H-M 'F -4 3 m'
_symmetry_Int_Tables_number 216
_symmetry_space_group_name_Hall 'F -4 2 3'
_cell_length_a 6.760
_cell_length_b 6.760
_cell_length_c 6.760
_cell_angle_alpha 90.00
_cell_angle_beta 90.00
_cell_angle_gamma 90.00
loop_
_atom_site_label
_atom_site_type_symbol
_atom_site_fract_x
_atom_site_fract_y
_atom_site_fract_z
_atom_site_occupancy
Ni1 Ni 0.124 0.124 0.376 1
Sn1 Sn 0.000 0.000 0.000 1
Ir1 Ir 0.250 0.250 0.750 1



(2)
# NiSn2Ir, optimized geometry, DFT PBE-GGA
# Formation energy in eV/f.u.: 1.19
data_NiSn2Ir
_symmetry_space_group_name_H-M 'I -4 2 d'
_symmetry_Int_Tables_number 122
_symmetry_space_group_name_Hall 'I -4 2bw'
_cell_length_a 7.188
_cell_length_b 7.188
_cell_length_c 5.901
_cell_angle_alpha 90.00
_cell_angle_beta 90.00
_cell_angle_gamma 90.00
loop_
_atom_site_label
_atom_site_type_symbol
_atom_site_fract_x
_atom_site_fract_y
_atom_site_fract_z
_atom_site_occupancy
Ni1 Ni 0.000 0.000 0.000 1
Sn1 Sn 0.240 0.250 0.125 1
Ir1 Ir 0.000 0.000 0.500 1



(3)
# Ni3SnIr, optimized geometry, DFT PBE-GGA
# Formation energy in eV/f.u.: 4.71
# Energy above the most stable polymorph in this dataset in meV per atom: 0
data_Ni3SnIr
_symmetry_space_group_name_H-M 'P m -3 m'
_symmetry_Int_Tables_number 221
_symmetry_space_group_name_Hall '-P 4 2 3'
_cell_length_a 4.574
_cell_length_b 4.574
_cell_length_c 4.574
_cell_angle_alpha 90.00
_cell_angle_beta 90.00
_cell_angle_gamma 90.00
loop_
_atom_site_label
_atom_site_type_symbol
_atom_site_fract_x
_atom_site_fract_y
_atom_site_fract_z
_atom_site_occupancy
Ni1 Ni 0.000 0.000 0.500 1
Sn1 Sn 0.500 0.500 0.500 1
Ir1 Ir 0.000 0.000 0.000 1



(4)
# Ni4Sn2Ir, optimized geometry, DFT PBE-GGA
# Formation energy in eV/f.u.: 0.80
data_Ni4Sn2Ir
_symmetry_space_group_name_H-M 'C m c e'
_symmetry_Int_Tables_number 64
_symmetry_space_group_name_Hall '-C 2ac 2'
_cell_length_a 8.850
_cell_length_b 5.067
_cell_length_c 9.046
_cell_angle_alpha 90.00
_cell_angle_beta 90.00
_cell_angle_gamma 90.00
loop_
_atom_site_label
_atom_site_type_symbol
_atom_site_fract_x
_atom_site_fract_y
_atom_site_fract_z
_atom_site_occupancy
Ni1 Ni 0.000 0.121 0.228 1
Ni2 Ni 0.250 0.181 0.750 1
Sn1 Sn 0.166 0.000 0.000 1
Ir1 Ir 0.000 0.000 0.500 1



Q: Which value of formation energy does entry 4 give?
A: 0.80 eV/f.u.



Q: Which formula does entry 4 have?
A: Ni4Sn2Ir



Q: formation energy of number 1 (Ni4SnIr)?
A: 0.25 eV/f.u.



Q: Look up the formation energy of the second one.
A: 1.19 eV/f.u.